Here is an optimized crystal structure of TlRh2Au from Alexandria via LeMat-Bulk. Energies are from GGA-PBE.

a b c (Å): 4.541 4.541 3.306
angles (deg): 90.00 90.00 90.63
Positions (direct):
Tl 0.000 0.000 0.000
Rh 0.000 0.500 0.500
Rh 0.500 0.000 0.500
Au 0.500 0.500 0.000

E   -4.96 eV/atom
Crystal system   orthorhombic



Here is an optimized crystal structure of Tb5Tm3In2 from Alexandria via LeMat-Bulk. Energies are from GGA-PBE.

a b c (Å): 10.578 10.578 10.578
angles (deg): 105.77 84.55 145.41
Positions (direct):
Tb 0.165 0.130 0.295
Tb 0.250 0.250 0.000
Tb 0.250 0.501 0.251
Tb 0.250 0.999 0.749
Tb 0.335 0.630 0.965
Tb 0.665 0.370 0.035
Tb 0.750 0.001 0.251
Tb 0.750 0.499 0.749
Tb 0.750 0.750 0.000
Tb 0.835 0.870 0.705
Tm 0.226 0.396 0.623
Tm 0.250 0.750 0.500
Tm 0.274 0.896 0.170
Tm 0.726 0.104 0.830
Tm 0.750 0.250 0.500
Tm 0.774 0.604 0.377
In 0.146 0.633 0.779
In 0.354 0.133 0.488
In 0.646 0.867 0.512
In 0.854 0.367 0.221

E   -4.07 eV/atom
Crystal system   orthorhombic



Here is an optimized crystal structure of Rb2Te2Cl from Alexandria via LeMat-Bulk. Energies are from GGA-PBE.

a b c (Å): 6.873 6.873 6.873
angles (deg): 118.61 118.61 92.42
Positions (direct):
Rb 0.250 0.750 0.500
Rb 0.750 0.250 0.500
Te 0.143 0.143 0.000
Te 0.857 0.857 0.000
Cl 0.500 0.500 0.000

E   -2.86 eV/atom
Formation energy from raw total energies   -851 meV per atom
ΔE to the lowest computed polymorph   0.2345 eV per atom
Crystal system   tetragonal



Here is an optimized crystal structure of Sm5HoGa6 from Alexandria via LeMat-Bulk. Energies are from GGA-PBE.

a b c (Å): 5.134 7.262 8.120
angles (deg): 90.00 108.32 90.00
Positions (direct):
Sm 0.000 0.000 0.000
Sm 0.331 0.000 0.663
Sm 0.334 0.500 0.668
Sm 0.666 0.500 0.332
Sm 0.669 0.000 0.337
Ho 0.000 0.500 0.000
Ga 0.164 0.254 0.329
Ga 0.164 0.746 0.329
Ga 0.500 0.253 0.000
Ga 0.500 0.747 0.000
Ga 0.836 0.254 0.671
Ga 0.836 0.746 0.671

E   -4.43 eV/atom
Crystal system   monoclinic



Here is an optimized crystal structure of CeRePbO6 from Alexandria via LeMat-Bulk. Energies are from GGA-PBE.

a b c (Å): 7.206 7.206 7.206
angles (deg): 119.10 118.34 92.23
Positions (direct):
Ce 0.000 0.000 0.000
Ce 0.500 0.000 0.500
Re 0.500 0.000 0.000
Re 0.500 0.500 0.500
Pb 0.196 0.446 0.750
Pb 0.804 0.554 0.250
O 0.143 0.893 0.250
O 0.190 0.420 0.370
O 0.190 0.819 0.770
O 0.425 0.175 0.250
O 0.450 0.181 0.870
O 0.450 0.580 0.270
O 0.550 0.420 0.730
O 0.550 0.819 0.130
O 0.575 0.825 0.750
O 0.810 0.181 0.230
O 0.810 0.580 0.630
O 0.857 0.107 0.750

E   -7.74 eV/atom
Formation energy from raw total energies   -1975 meV per atom
Crystal system   orthorhombic



Here is an optimized crystal structure of Tb12Si6Sn from Alexandria via LeMat-Bulk. Energies are from GGA-PBE.

a b c (Å): 8.623 8.623 8.623
angles (deg): 109.47 109.47 109.47
Positions (direct):
Tb 0.108 0.812 0.296
Tb 0.188 0.296 0.484
Tb 0.188 0.704 0.892
Tb 0.296 0.108 0.812
Tb 0.296 0.484 0.188
Tb 0.484 0.188 0.296
Tb 0.516 0.812 0.704
Tb 0.704 0.516 0.812
Tb 0.704 0.892 0.188
Tb 0.812 0.296 0.108
Tb 0.812 0.704 0.516
Tb 0.892 0.188 0.704
Si 0.117 0.617 0.500
Si 0.383 0.500 0.883
Si 0.500 0.117 0.617
Si 0.500 0.883 0.383
Si 0.617 0.500 0.117
Si 0.883 0.383 0.500
Sn 0.000 0.000 0.000

E   -5.44 eV/atom
Formation energy from raw total energies   -593 meV per atom
Crystal system   cubic



Here is an optimized crystal structure of ThCuHg from Alexandria via LeMat-Bulk. Energies are from GGA-PBE.

a b c (Å): 4.664 5.010 6.284
angles (deg): 90.00 111.47 90.00
Positions (direct):
Th 0.100 0.250 0.229
Th 0.900 0.750 0.771
Cu 0.255 0.750 0.465
Cu 0.745 0.250 0.535
Hg 0.393 0.250 0.806
Hg 0.607 0.750 0.194

E   -4.07 eV/atom
Crystal system   monoclinic



Here is an optimized crystal structure of LuZr2N from Alexandria via LeMat-Bulk. Energies are from GGA-PBE.

a b c (Å): 3.007 3.007 8.148
angles (deg): 90.00 90.00 90.00
Positions (direct):
Lu 0.000 0.000 0.000
Zr 0.500 0.500 0.331
Zr 0.500 0.500 0.669
N 0.000 0.000 0.500

E   -7.64 eV/atom
Formation energy from raw total energies   -158 meV per atom
ΔE to the lowest computed polymorph   0.5045 eV per atom
Crystal system   tetragonal



no.,density (kg/m³)
1,14792
2,8091
3,3274
4,7714
5,7760
6,7383
7,12059
8,8374